# GGA-PBE Ac3CoCu2, relaxed
# E_form = -0.077 eV/atom
# Space-group type = Pnma (62)
data_Ac3CoCu2
_cell_length_a 12.343
_cell_length_b 4.203
_cell_length_c 12.699
_cell_angle_alpha 90.00
_cell_angle_beta 90.00
_cell_angle_gamma 90.00
_space_group_name_H-M_alt 'P 1'
_space_group_IT_number 1
loop_
_space_group_symop_operation_xyz
'x,y,z'
loop_
_atom_site_label
_atom_site_type_symbol
_atom_site_fract_x
_atom_site_fract_y
_atom_site_fract_z
_atom_site_occupancy
Ac1 Ac 0.053 0.250 0.128 1
Ac2 Ac 0.118 0.750 0.554 1
Ac3 Ac 0.224 0.250 0.800 1
Ac4 Ac 0.276 0.750 0.300 1
Ac5 Ac 0.382 0.250 0.054 1
Ac6 Ac 0.447 0.750 0.628 1
Ac7 Ac 0.553 0.250 0.372 1
Ac8 Ac 0.618 0.750 0.946 1
Ac9 Ac 0.724 0.250 0.700 1
Ac10 Ac 0.776 0.750 0.200 1
Ac11 Ac 0.882 0.250 0.446 1
Ac12 Ac 0.947 0.750 0.872 1
Co1 Co 0.122 0.250 0.369 1
Co2 Co 0.378 0.750 0.869 1
Co3 Co 0.622 0.250 0.131 1
Co4 Co 0.878 0.750 0.631 1
Cu1 Cu 0.026 0.750 0.316 1
Cu2 Cu 0.200 0.750 0.987 1
Cu3 Cu 0.300 0.250 0.487 1
Cu4 Cu 0.474 0.250 0.816 1
Cu5 Cu 0.526 0.750 0.184 1
Cu6 Cu 0.700 0.750 0.513 1
Cu7 Cu 0.800 0.250 0.013 1
Cu8 Cu 0.974 0.250 0.684 1


# GGA-PBE In2BO, relaxed
# Energy above the lowest structure with this stoichiometry = 0 meV/atom
# Space-group type = I-42d (122)
# Formation energy from raw total energies = -0.08 eV/atom
data_In2BO
_cell_length_a 6.425
_cell_length_b 6.425
_cell_length_c 6.425
_cell_angle_alpha 131.40
_cell_angle_beta 131.40
_cell_angle_gamma 71.18
_space_group_name_H-M_alt 'P 1'
_space_group_IT_number 1
loop_
_space_group_symop_operation_xyz
'x,y,z'
loop_
_atom_site_label
_atom_site_type_symbol
_atom_site_fract_x
_atom_site_fract_y
_atom_site_fract_z
_atom_site_occupancy
In1 In 0.121 0.625 0.996 1
In2 In 0.375 0.371 0.496 1
In3 In 0.629 0.125 0.004 1
In4 In 0.875 0.879 0.504 1
B1 B 0.250 0.750 0.500 1
B2 B 0.500 0.500 0.000 1
O1 O 0.000 0.000 0.000 1
O2 O 0.750 0.250 0.500 1


For reference, density by record: 8.74, 5.83 Mg/m³.